Entry from Alexandria: a relaxed structure of SiHgCl2 (GGA-PBEsol).

Computed properties:
Polymorph energy (0 for the lowest one), meV per atom: 5
Uncorrected formation energy, eV per atom: -0.302
Density of states at the Fermi level, states/eV/cell: 0.29
Mass density, g/cm3: 5.57

abc: 2.9490 3.3274 9.0952
angles: 90.00 90.77 90.00
Positions (direct):
Si 0.0000 0.0000 0.0000
Hg 0.5000 0.0000 0.5000
Cl 0.0079 0.5000 0.1848
Cl 0.9921 0.5000 0.8152